a:
The following is a DFT calculation (GGA-PBE) of As2RuI after structural relaxation.

Calculated values
M_tot ... 0.19 μB/f.u.
V ... 19.29 Å³ per atom
N(E_F) ... 3.659 states/eV/f.u.

a b c (Å): 4.7786 4.7786 4.7786
angles (deg): 60.00 60.00 60.00
Closest atoms and distances in Å follow each position.
Fractional positions:
As 0.2500 0.2500 0.2500  4 Ru 2.93, 4 I 2.93
As 0.7500 0.7500 0.7500  4 I 2.93, 4 Ru 2.93
Ru 0.0000 0.0000 0.0000  8 As 2.93
I 0.5000 0.5000 0.5000  8 As 2.93

***

b:
The following is a DFT calculation (GGA-PBE) of As2RuI after structural relaxation.

Calculated values
M_tot ... 0.00 μB/f.u.
V ... 29.18 Å³ per atom
N(E_F) ... 4.057 states/eV/f.u.

a b c (Å): 7.1270 7.1270 7.1270
angles (deg): 125.08 125.08 81.41
Closest atoms and distances in Å follow each position.
Fractional positions:
As 0.0149 0.6250 0.8899  2 Ru 2.32
As 0.3750 0.2649 0.3899  2 Ru 2.32
As 0.7351 0.1250 0.1101  2 Ru 2.32
As 0.8750 0.9851 0.6101  2 Ru 2.32
Ru 0.0000 0.0000 0.0000  4 As 2.32
Ru 0.7500 0.2500 0.5000  4 As 2.32
I 0.2500 0.7500 0.5000  4 As 3.18
I 0.5000 0.5000 0.0000  4 As 3.18

***

b ends up most stable, edging out the next structure by 682 meV/atom.

***

a:
The following is a DFT calculation (GGA-PBE) of SbAsRuI2 after structural relaxation.

Calculated values
M_tot ... 3.47 μB/f.u.
V ... 33.93 Å³ per atom
N(E_F) ... 6.792 states/eV/f.u.

a b c (Å): 5.5300 5.5300 5.5479
angles (deg): 90.00 90.00 90.00
Closest atoms and distances in Å follow each position.
Fractional positions:
Sb 0.0000 0.0000 0.0000  2 As 2.77
As 0.0000 0.0000 0.5000  4 I 2.77, 2 Sb 2.77
Ru 0.5000 0.5000 0.0000  4 Sb 3.91, 8 I 3.92
I 0.0000 0.5000 0.5000  2 As 2.77
I 0.5000 0.0000 0.5000  2 As 2.77

***

b:
The following is a DFT calculation (GGA-PBE) of SbAsRuI2 after structural relaxation.

Calculated values
M_tot ... 0.00 μB/f.u.
V ... 29.07 Å³ per atom
N(E_F) ... 5.600 states/eV/f.u.

a b c (Å): 5.3466 5.3466 5.0851
angles (deg): 90.00 90.00 90.00
Closest atoms and distances in Å follow each position.
Fractional positions:
Sb 0.0000 0.0000 0.0000  2 Ru 2.54
As 0.5000 0.5000 0.0000  8 I 3.69, 4 Sb 3.78
Ru 0.0000 0.0000 0.5000  2 Sb 2.54, 4 I 2.67
I 0.0000 0.5000 0.5000  2 Ru 2.67
I 0.5000 0.0000 0.5000  2 Ru 2.67

***

b ends up most stable, edging out the next structure by 553 meV/atom.

***

a:
The following is a DFT calculation (GGA-PBE) of AsRuSe2I after structural relaxation.

Calculated values
M_tot ... 2.87 μB/f.u.
V ... 25.62 Å³ per atom
N(E_F) ... 8.175 states/eV/f.u.

a b c (Å): 5.1594 5.1594 4.8124
angles (deg): 90.00 90.00 90.00
Closest atoms and distances in Å follow each position.
Fractional positions:
As 0.0000 0.0000 0.0000  2 Ru 2.41, 4 Se 2.58
Ru 0.0000 0.0000 0.5000  2 As 2.41
Se 0.0000 0.5000 0.0000  2 As 2.58
Se 0.5000 0.0000 0.0000  2 As 2.58
I 0.5000 0.5000 0.5000  8 Se 3.53, 4 Ru 3.65

***

b:
The following is a DFT calculation (GGA-PBE) of AsRuSe2I after structural relaxation.

Calculated values
M_tot ... 0.00 μB/f.u.
V ... 23.83 Å³ per atom
N(E_F) ... 7.638 states/eV/f.u.

a b c (Å): 4.9810 4.9810 4.8023
angles (deg): 90.00 90.00 90.00
Closest atoms and distances in Å follow each position.
Fractional positions:
As 0.0000 0.0000 0.0000  2 Ru 2.40
Ru 0.0000 0.0000 0.5000  2 As 2.40, 4 Se 2.49
Se 0.0000 0.5000 0.5000  2 Ru 2.49
Se 0.5000 0.0000 0.5000  2 Ru 2.49
I 0.5000 0.5000 0.0000  8 Se 3.46, 4 As 3.52

***

b ends up most stable, edging out the next structure by 477 meV/atom.

***

a:
The following is a DFT calculation (GGA-PBE) of TeAsRuI2 after structural relaxation.

Calculated values
M_tot ... 0.00 μB/f.u.
V ... 29.36 Å³ per atom
N(E_F) ... 4.454 states/eV/f.u.

a b c (Å): 5.3619 5.3619 5.1068
angles (deg): 90.00 90.00 90.00
Closest atoms and distances in Å follow each position.
Fractional positions:
Te 0.0000 0.0000 0.0000  2 Ru 2.55
As 0.5000 0.5000 0.0000  8 I 3.70, 4 Te 3.79
Ru 0.0000 0.0000 0.5000  2 Te 2.55, 4 I 2.68
I 0.0000 0.5000 0.5000  2 Ru 2.68
I 0.5000 0.0000 0.5000  2 Ru 2.68

***

b:
The following is a DFT calculation (GGA-PBE) of TeAsRuI2 after structural relaxation.

Calculated values
M_tot ... 3.56 μB/f.u.
V ... 34.64 Å³ per atom
N(E_F) ... 7.028 states/eV/f.u.

a b c (Å): 5.5534 5.5534 5.6163
angles (deg): 90.00 90.00 90.00
Closest atoms and distances in Å follow each position.
Fractional positions:
Te 0.0000 0.0000 0.0000  2 As 2.81
As 0.0000 0.0000 0.5000  4 I 2.78, 2 Te 2.81
Ru 0.5000 0.5000 0.0000  4 Te 3.93, 8 I 3.95
I 0.0000 0.5000 0.5000  2 As 2.78
I 0.5000 0.0000 0.5000  2 As 2.78

***

a ends up most stable, edging out the next structure by 452 meV/atom.

***

a:
The following is a DFT calculation (GGA-PBE) of AsSI3 after structural relaxation.

Calculated values
M_tot ... 0.00 μB/f.u.
V ... 45.28 Å³ per atom
N(E_F) ... 4.576 states/eV/f.u.

a b c (Å): 6.2247 12.5284 6.4187
angles (deg): 90.00 115.22 90.00
Closest atoms and distances in Å follow each position.
Fractional positions:
As 0.2031 0.2500 0.3195  1 S 2.11
As 0.7969 0.7500 0.6805  1 S 2.11
S 0.2360 0.2500 0.0049  1 As 2.11
S 0.7640 0.7500 0.9951  1 As 2.11
I 0.2376 0.0086 0.4728  2 I 3.13-3.14, 1 As 3.16
I 0.2376 0.4914 0.4728  2 I 3.13-3.14, 1 As 3.16
I 0.2736 0.7500 0.8926  1 As 2.69, 1 S 2.84
I 0.7264 0.2500 0.1074  1 As 2.69, 1 S 2.84
I 0.7624 0.5086 0.5272  2 I 3.13-3.14, 1 As 3.16
I 0.7624 0.9914 0.5272  2 I 3.13-3.14, 1 As 3.16

***

b:
The following is a DFT calculation (GGA-PBE) of AsSI3 after structural relaxation.

Calculated values
M_tot ... 2.04 μB/f.u.
V ... 37.10 Å³ per atom
N(E_F) ... 4.588 states/eV/f.u.

a b c (Å): 5.7032 5.7032 5.7032
angles (deg): 90.00 90.00 90.00
Closest atoms and distances in Å follow each position.
Fractional positions:
As 0.0000 0.0000 0.0000  6 I 2.85
S 0.5000 0.5000 0.5000  12 I 4.03
I 0.0000 0.0000 0.5000  2 As 2.85
I 0.0000 0.5000 0.0000  2 As 2.85
I 0.5000 0.0000 0.0000  2 As 2.85

***

a ends up most stable, edging out the next structure by 485 meV/atom.

***

a:
The following is a DFT calculation (GGA-PBE) of As2SI after structural relaxation.

Calculated values
M_tot ... 0.00 μB/f.u.
V ... 26.57 Å³ per atom
N(E_F) ... 3.097 states/eV/f.u.

a b c (Å): 6.5243 6.5243 6.5243
angles (deg): 112.09 112.09 104.35
Closest atoms and distances in Å follow each position.
Fractional positions:
As 0.0667 0.1250 0.4417  2 S 2.50
As 0.3750 0.9333 0.0583  2 S 2.50
As 0.6833 0.6250 0.5583  2 S 2.50
As 0.8750 0.3167 0.9417  2 S 2.50
S 0.0000 0.0000 0.0000  4 As 2.50
S 0.7500 0.2500 0.5000  4 As 2.50
I 0.2500 0.7500 0.5000  4 As 3.06
I 0.5000 0.5000 0.0000  4 As 3.06

***

b:
The following is a DFT calculation (GGA-PBE) of As2SI after structural relaxation.

Calculated values
M_tot ... 0.00 μB/f.u.
V ... 21.60 Å³ per atom
N(E_F) ... 3.105 states/eV/f.u.

a b c (Å): 4.9620 4.9620 4.9620
angles (deg): 60.00 60.00 60.00
Closest atoms and distances in Å follow each position.
Fractional positions:
As 0.2500 0.2500 0.2500  4 S 3.04, 4 I 3.04
As 0.7500 0.7500 0.7500  4 S 3.04, 4 I 3.04
S 0.0000 0.0000 0.0000  8 As 3.04
I 0.5000 0.5000 0.5000  8 As 3.04

***

a ends up most stable, edging out the next structure by 292 meV/atom.

***

a:
The following is a DFT calculation (GGA-PBE) of As3SI after structural relaxation.

Calculated values
M_tot ... 0.92 μB/f.u.
V ... 30.90 Å³ per atom
N(E_F) ... 5.853 states/eV/f.u.

a b c (Å): 5.3661 5.3661 5.3661
angles (deg): 90.00 90.00 90.00
Closest atoms and distances in Å follow each position.
Fractional positions:
As 0.0000 0.0000 0.5000  2 I 2.68
As 0.0000 0.5000 0.0000  2 I 2.68
As 0.5000 0.0000 0.0000  2 I 2.68
S 0.5000 0.5000 0.5000  12 As 3.79
I 0.0000 0.0000 0.0000  6 As 2.68

***

b:
The following is a DFT calculation (GGA-PBE) of As3SI after structural relaxation.

Calculated values
M_tot ... 0.00 μB/f.u.
V ... 24.17 Å³ per atom
N(E_F) ... 4.288 states/eV/f.u.

a b c (Å): 4.9441 4.9441 4.9441
angles (deg): 90.00 90.00 90.00
Closest atoms and distances in Å follow each position.
Fractional positions:
As 0.0000 0.0000 0.5000  2 S 2.47
As 0.0000 0.5000 0.0000  2 S 2.47
As 0.5000 0.0000 0.0000  2 S 2.47
S 0.0000 0.0000 0.0000  6 As 2.47
I 0.5000 0.5000 0.5000  12 As 3.50

***

b ends up most stable, edging out the next structure by 848 meV/atom.

***

a:
The following is a DFT calculation (GGA-PBE) of AsSe2SI after structural relaxation.

Calculated values
M_tot ... 0.00 μB/f.u.
V ... 24.61 Å³ per atom
N(E_F) ... 4.521 states/eV/f.u.

a b c (Å): 4.8702 4.8702 5.1887
angles (deg): 90.00 90.00 90.00
Closest atoms and distances in Å follow each position.
Fractional positions:
As 0.0000 0.0000 0.0000  2 S 2.59
Se 0.0000 0.5000 0.5000  2 S 2.44
Se 0.5000 0.0000 0.5000  2 S 2.44
S 0.0000 0.0000 0.5000  4 Se 2.44, 2 As 2.59
I 0.5000 0.5000 0.0000  4 As 3.44, 8 Se 3.56

***

b:
The following is a DFT calculation (GGA-PBE) of AsSe2SI after structural relaxation.

Calculated values
M_tot ... 0.76 μB/f.u.
V ... 32.22 Å³ per atom
N(E_F) ... 4.702 states/eV/f.u.

a b c (Å): 5.3312 5.3312 5.6686
angles (deg): 90.00 90.00 90.00
Closest atoms and distances in Å follow each position.
Fractional positions:
As 0.0000 0.0000 0.0000  2 I 2.83
Se 0.0000 0.5000 0.5000  2 I 2.67
Se 0.5000 0.0000 0.5000  2 I 2.67
S 0.5000 0.5000 0.0000  4 As 3.77, 8 Se 3.89
I 0.0000 0.0000 0.5000  4 Se 2.67, 2 As 2.83

***

a ends up most stable, edging out the next structure by 712 meV/atom.

***

a:
The following is a DFT calculation (GGA-PBE) of As2SeSI after structural relaxation.

Calculated values
M_tot ... 0.00 μB/f.u.
V ... 24.40 Å³ per atom
N(E_F) ... 5.261 states/eV/f.u.

a b c (Å): 5.0346 5.0346 4.8137
angles (deg): 90.00 90.00 90.00
Closest atoms and distances in Å follow each position.
Fractional positions:
As 0.0000 0.5000 0.0000  2 S 2.52
As 0.5000 0.0000 0.0000  2 S 2.52
Se 0.0000 0.0000 0.5000  2 S 2.41
S 0.0000 0.0000 0.0000  2 Se 2.41, 4 As 2.52
I 0.5000 0.5000 0.5000  8 As 3.48, 4 Se 3.56

***

b:
The following is a DFT calculation (GGA-PBE) of As2SeSI after structural relaxation.

Calculated values
M_tot ... 0.00 μB/f.u.
V ... 31.63 Å³ per atom
N(E_F) ... 5.082 states/eV/f.u.

a b c (Å): 5.4912 5.4912 5.2442
angles (deg): 90.00 90.00 90.00
Closest atoms and distances in Å follow each position.
Fractional positions:
As 0.0000 0.5000 0.0000  2 I 2.75
As 0.5000 0.0000 0.0000  2 I 2.75
Se 0.0000 0.0000 0.5000  2 I 2.62
S 0.5000 0.5000 0.5000  8 As 3.80, 4 Se 3.88
I 0.0000 0.0000 0.0000  2 Se 2.62, 4 As 2.75

***

a ends up most stable, edging out the next structure by 782 meV/atom.

***

a:
The following is a DFT calculation (GGA-PBE) of Te2AsSI after structural relaxation.

Calculated values
M_tot ... 0.00 μB/f.u.
V ... 30.15 Å³ per atom
N(E_F) ... 4.286 states/eV/f.u.

a b c (Å): 5.2279 5.2279 5.5148
angles (deg): 90.00 90.00 90.00
Closest atoms and distances in Å follow each position.
Fractional positions:
Te 0.0000 0.5000 0.0000  2 S 2.61
Te 0.5000 0.0000 0.0000  2 S 2.61
As 0.0000 0.0000 0.5000  4 I 3.70, 8 Te 3.80
S 0.5000 0.5000 0.0000  4 Te 2.61, 2 I 2.76
I 0.5000 0.5000 0.5000  2 S 2.76

***

b:
The following is a DFT calculation (GGA-PBE) of Te2AsSI after structural relaxation.

Calculated values
M_tot ... 0.00 μB/f.u.
V ... 32.66 Å³ per atom
N(E_F) ... 4.760 states/eV/f.u.

a b c (Å): 5.5014 5.5014 5.3960
angles (deg): 90.00 90.00 90.00
Closest atoms and distances in Å follow each position.
Fractional positions:
Te 0.0000 0.5000 0.0000  2 As 2.75
Te 0.5000 0.0000 0.0000  2 As 2.75
As 0.0000 0.0000 0.0000  2 I 2.70, 4 Te 2.75
S 0.5000 0.5000 0.5000  8 Te 3.85, 4 I 3.89
I 0.0000 0.0000 0.5000  2 As 2.70

***

a ends up most stable, edging out the next structure by 53 meV/atom.

***

a:
The following is a DFT calculation (GGA-PBE) of Sb2As2I after structural relaxation.

Calculated values
M_tot ... 0.00 μB/f.u.
V ... 30.20 Å³ per atom
N(E_F) ... 1.173 states/eV/f.u.

a b c (Å): 7.6710 7.6710 7.6710
angles (deg): 144.56 144.56 51.00
Closest atoms and distances in Å follow each position.
Fractional positions:
Sb 0.1362 0.1362 0.0000  4 As 2.82
Sb 0.8638 0.8638 0.0000  4 As 2.82
As 0.2500 0.7500 0.5000  4 Sb 2.82
As 0.7500 0.2500 0.5000  4 Sb 2.82
I 0.5000 0.5000 0.0000  8 Sb 3.80, 8 As 4.18

***

b:
The following is a DFT calculation (GGA-PBE) of Sb2As2I after structural relaxation.

Calculated values
M_tot ... 0.00 μB/f.u.
V ... 29.69 Å³ per atom
N(E_F) ... 2.392 states/eV/f.u.

a b c (Å): 6.9458 6.9458 6.9458
angles (deg): 137.99 137.99 60.92
Closest atoms and distances in Å follow each position.
Fractional positions:
Sb 0.2500 0.7500 0.5000  4 As 2.83
Sb 0.7500 0.2500 0.5000  4 As 2.83
As 0.1370 0.1370 0.0000  4 Sb 2.83
As 0.8630 0.8630 0.0000  4 Sb 2.83
I 0.5000 0.5000 0.0000  10 As 3.88-4.35, 8 Sb 3.89

***

c:
The following is a DFT calculation (GGA-PBE) of Sb2As2I after structural relaxation.

Calculated values
M_tot ... 0.00 μB/f.u.
V ... 26.98 Å³ per atom
N(E_F) ... 2.226 states/eV/f.u.

a b c (Å): 8.6283 8.6283 3.6237
angles (deg): 90.00 90.00 90.00
Closest atoms and distances in Å follow each position.
Fractional positions:
Sb 0.1417 0.3583 0.0000  4 As 2.96
Sb 0.3583 0.8583 0.0000  4 As 2.96
Sb 0.6417 0.1417 0.0000  4 As 2.96
Sb 0.8583 0.6417 0.0000  4 As 2.96
As 0.1285 0.6285 0.5000  4 Sb 2.96, 1 As 3.14
As 0.3715 0.1285 0.5000  4 Sb 2.96, 1 As 3.14
As 0.6285 0.8715 0.5000  4 Sb 2.96, 1 As 3.14
As 0.8715 0.3715 0.5000  4 Sb 2.96, 1 As 3.14
I 0.0000 0.0000 0.0000  4 Sb 3.32, 2 I 3.62
I 0.5000 0.5000 0.0000  4 Sb 3.32, 2 I 3.62

***

a ends up most stable, edging out the next structure by 90 meV/atom.

***

a:
The following is a DFT calculation (GGA-PBE) of SbAsI2 after structural relaxation.

Calculated values
M_tot ... 0.00 μB/f.u.
V ... 28.55 Å³ per atom
N(E_F) ... 3.657 states/eV/f.u.

a b c (Å): 5.4460 5.4460 5.4460
angles (deg): 60.00 60.00 60.00
Closest atoms and distances in Å follow each position.
Fractional positions:
Sb 0.0000 0.0000 0.0000  8 I 3.33
As 0.5000 0.5000 0.5000  8 I 3.33
I 0.2500 0.2500 0.2500  4 As 3.33, 4 Sb 3.33
I 0.7500 0.7500 0.7500  4 As 3.33, 4 Sb 3.33

***

b:
The following is a DFT calculation (GGA-PBE) of SbAsI2 after structural relaxation.

Calculated values
M_tot ... 0.00 μB/f.u.
V ... 32.31 Å³ per atom
N(E_F) ... 3.475 states/eV/f.u.

a b c (Å): 6.9995 6.9995 6.9995
angles (deg): 104.96 104.96 118.93
Closest atoms and distances in Å follow each position.
Fractional positions:
Sb 0.0000 0.0000 0.0000  4 I 3.25, 2 As 3.56
Sb 0.7500 0.2500 0.5000  4 I 3.25, 2 As 3.56
As 0.2500 0.7500 0.5000  4 I 3.04
As 0.5000 0.5000 0.0000  4 I 3.04
I 0.1439 0.6250 0.0189  2 As 3.04, 2 Sb 3.25
I 0.3750 0.3939 0.5189  2 As 3.04, 2 Sb 3.25
I 0.6061 0.1250 0.9811  2 As 3.04, 2 Sb 3.25
I 0.8750 0.8561 0.4811  2 As 3.04, 2 Sb 3.25

***

b ends up most stable, edging out the next structure by 79 meV/atom.